(1)
The following is a DFT calculation (GGA-PBE) of LaTbSiPd after structural relaxation.

Cell lengths 5.128, 5.128, 5.128 Å; angles 60.00, 60.00, 60.00 degrees
Sites, in units of the cell vectors:
Si (0.750, 0.750, 0.750)
Tb (0.500, 0.500, 0.500)
Pd (0.250, 0.250, 0.250)
La (0.000, 0.000, 0.000)

Values from the calculation:
VASP energy: -5.707 eV per atom
formation energy without anion corrections: -0.664 eV/atom
M_tot: 0.00 μB/f.u.

---

(2)
The following is a DFT calculation (GGA-PBE) of La2TiSiPd after structural relaxation.

Cell lengths 5.476, 4.577, 5.476 Å; angles 90.00, 90.00, 90.00 degrees
Sites, in units of the cell vectors:
Si (0.500, 0.500, 0.500)
Ti (0.000, 0.000, 0.000)
Pd (0.000, 0.500, 0.000)
La (0.000, 0.000, 0.500)
La (0.500, 0.000, 0.000)

Values from the calculation:
VASP energy: -5.335 eV per atom
formation energy without anion corrections: 0.338 eV/atom
M_tot: 0.00 μB/f.u.